(1)
This record from Alexandria via LeMat-Bulk describes an optimized crystal structure of CaPm2PuSb4. The functional is PBE.

Cell and atoms, written as CIF:
```
data_CaPm2PuSb4
_chemical_formula_sum 'Ca2 Pm4 Pu2 Sb8'
_cell_length_a 6.3277
_cell_length_b 6.3277
_cell_length_c 12.7416
_cell_angle_alpha 90.00
_cell_angle_beta 90.00
_cell_angle_gamma 90.00
_symmetry_space_group_name_H-M 'I 4/m m m'
_symmetry_Int_Tables_number 139
_symmetry_space_group_name_Hall '-I 4 2'
loop_
_atom_site_label
_atom_site_type_symbol
_atom_site_fract_x
_atom_site_fract_y
_atom_site_fract_z
_atom_site_occupancy
Ca1 Ca 0.0000 0.0000 0.0000 1
Pm1 Pm 0.0000 0.5000 0.2500 1
Pu1 Pu 0.0000 0.0000 0.5000 1
Sb1 Sb 0.0000 0.0000 0.2578 1
Sb2 Sb 0.0000 0.5000 0.0000 1
```

Properties
* final energy: -0.45769 Ry per atom

***

(2)
This record from Alexandria via LeMat-Bulk describes an optimized crystal structure of NaHoOs2O8. The functional is PBE.

Cell and atoms, written as CIF:
```
data_NaHoOs2O8
_chemical_formula_sum 'Na2 Ho2 Os4 O16'
_cell_length_a 5.2411
_cell_length_b 5.2411
_cell_length_c 11.4556
_cell_angle_alpha 90.00
_cell_angle_beta 90.00
_cell_angle_gamma 90.00
_symmetry_space_group_name_H-M 'I -4'
_symmetry_Int_Tables_number 82
_symmetry_space_group_name_Hall 'I -4'
loop_
_atom_site_label
_atom_site_type_symbol
_atom_site_fract_x
_atom_site_fract_y
_atom_site_fract_z
_atom_site_occupancy
Na1 Na 0.0000 0.0000 0.0000 1
Ho1 Ho 0.0000 0.5000 0.7500 1
Os1 Os 0.0000 0.0000 0.5000 1
Os2 Os 0.0000 0.5000 0.2500 1
O1 O 0.1517 0.2458 0.5874 1
O2 O 0.1720 0.7515 0.1737 1
```

Properties
* final energy: -0.52959 Ry per atom

***

(3)
This record from Alexandria via LeMat-Bulk describes an optimized crystal structure of NpPaBe4. The functional is PBE.

Cell and atoms, written as CIF:
```
data_NpPaBe4
_chemical_formula_sum 'Np4 Pa4 Be16'
_cell_length_a 6.8983
_cell_length_b 6.8983
_cell_length_c 6.8983
_cell_angle_alpha 90.00
_cell_angle_beta 90.00
_cell_angle_gamma 90.00
_symmetry_space_group_name_H-M 'F -4 3 m'
_symmetry_Int_Tables_number 216
_symmetry_space_group_name_Hall 'F -4 2 3'
loop_
_atom_site_label
_atom_site_type_symbol
_atom_site_fract_x
_atom_site_fract_y
_atom_site_fract_z
_atom_site_occupancy
Np1 Np 0.0000 0.0000 0.0000 1
Pa1 Pa 0.2500 0.2500 0.7500 1
Be1 Be 0.1268 0.1268 0.3732 1
```

Properties
* formation enthalpy at 0 K: 0.144 eV per atom

***

(4)
This record from Alexandria via LeMat-Bulk describes an optimized crystal structure of TaZnHg2. The functional is PBE.

Cell and atoms, written as CIF:
```
data_TaZnHg2
_chemical_formula_sum 'Ta3 Zn3 Hg6'
_cell_length_a 3.0697
_cell_length_b 3.0697
_cell_length_c 28.4446
_cell_angle_alpha 90.00
_cell_angle_beta 90.00
_cell_angle_gamma 120.00
_symmetry_space_group_name_H-M 'R -3 m'
_symmetry_Int_Tables_number 166
_symmetry_space_group_name_Hall '-R 3 2"'
loop_
_atom_site_label
_atom_site_type_symbol
_atom_site_fract_x
_atom_site_fract_y
_atom_site_fract_z
_atom_site_occupancy
Ta1 Ta 0.0000 0.0000 0.0000 1
Zn1 Zn 0.0000 0.0000 0.5000 1
Hg1 Hg 0.0000 0.0000 0.2470 1
```

Properties
* formation enthalpy at 0 K: 0.363 eV per atom

***

(5)
This record from Alexandria via LeMat-Bulk describes an optimized crystal structure of HgTeCl2. The functional is PBE.

Cell and atoms, written as CIF:
```
data_HgTeCl2
_chemical_formula_sum 'Hg2 Te2 Cl4'
_cell_length_a 3.8028
_cell_length_b 7.5735
_cell_length_c 10.4425
_cell_angle_alpha 90.00
_cell_angle_beta 90.00
_cell_angle_gamma 90.00
_symmetry_space_group_name_H-M 'C m m m'
_symmetry_Int_Tables_number 65
_symmetry_space_group_name_Hall '-C 2 2'
loop_
_atom_site_label
_atom_site_type_symbol
_atom_site_fract_x
_atom_site_fract_y
_atom_site_fract_z
_atom_site_occupancy
Hg1 Hg 0.0000 0.0000 0.0000 1
Te1 Te 0.0000 0.0000 0.5000 1
Cl1 Cl 0.0000 0.5000 0.3235 1
```

Properties
* energy above the lowest structure with this stoichiometry: 0.127 eV per atom

***

(6)
This record from Alexandria via LeMat-Bulk describes an optimized crystal structure of Nb2TlSnGe. The functional is PBE.

Cell and atoms, written as CIF:
```
data_Nb2TlSnGe
_chemical_formula_sum 'Nb2 Tl1 Sn1 Ge1'
_cell_length_a 5.2058
_cell_length_b 5.2058
_cell_length_c 5.4332
_cell_angle_alpha 90.00
_cell_angle_beta 90.00
_cell_angle_gamma 90.00
_symmetry_space_group_name_H-M 'P 4/m m m'
_symmetry_Int_Tables_number 123
_symmetry_space_group_name_Hall '-P 4 2'
loop_
_atom_site_label
_atom_site_type_symbol
_atom_site_fract_x
_atom_site_fract_y
_atom_site_fract_z
_atom_site_occupancy
Nb1 Nb 0.0000 0.5000 0.0000 1
Tl1 Tl 0.0000 0.0000 0.5000 1
Sn1 Sn 0.0000 0.0000 0.0000 1
Ge1 Ge 0.5000 0.5000 0.5000 1
```

Properties
* formation enthalpy at 0 K: 1.625 eV per atom

***

(7)
This record from Alexandria via LeMat-Bulk describes an optimized crystal structure of Li2Ac3GaPd6. The functional is PBE.

Cell and atoms, written as CIF:
```
data_Li2Ac3GaPd6
_chemical_formula_sum 'Li2 Ac3 Ga1 Pd6'
_cell_length_a 5.9495
_cell_length_b 5.9495
_cell_length_c 8.7183
_cell_angle_alpha 90.00
_cell_angle_beta 90.00
_cell_angle_gamma 120.00
_symmetry_space_group_name_H-M 'P -3 m 1'
_symmetry_Int_Tables_number 164
_symmetry_space_group_name_Hall '-P 3 2"'
loop_
_atom_site_label
_atom_site_type_symbol
_atom_site_fract_x
_atom_site_fract_y
_atom_site_fract_z
_atom_site_occupancy
Li1 Li 0.3333 0.6667 0.0304 1
Ac1 Ac 0.0000 0.0000 0.0000 1
Ac2 Ac 0.3333 0.6667 0.6147 1
Ga1 Ga 0.0000 0.0000 0.5000 1
Pd1 Pd 0.1736 0.3471 0.2795 1
```

Properties
* formation enthalpy at 0 K: -0.673 eV per atom

***

(8)
This record from Alexandria via LeMat-Bulk describes an optimized crystal structure of Tl2CdGaO4. The functional is PBE.

Cell and atoms, written as CIF:
```
data_Tl2CdGaO4
_chemical_formula_sum 'Tl4 Cd2 Ga2 O8'
_cell_length_a 5.4244
_cell_length_b 5.4244
_cell_length_c 9.6468
_cell_angle_alpha 90.00
_cell_angle_beta 90.00
_cell_angle_gamma 90.00
_symmetry_space_group_name_H-M 'I -4'
_symmetry_Int_Tables_number 82
_symmetry_space_group_name_Hall 'I -4'
loop_
_atom_site_label
_atom_site_type_symbol
_atom_site_fract_x
_atom_site_fract_y
_atom_site_fract_z
_atom_site_occupancy
Tl1 Tl 0.0000 0.0000 0.0000 1
Tl2 Tl 0.0000 0.5000 0.2500 1
Cd1 Cd 0.0000 0.0000 0.5000 1
Ga1 Ga 0.0000 0.5000 0.7500 1
O1 O 0.1813 0.7157 0.6346 1
```

Properties
* final energy: -0.33771 Ry per atom

***

(9)
This record from Alexandria via LeMat-Bulk describes an optimized crystal structure of NaNpSnTe3. The functional is PBE.

Cell and atoms, written as CIF:
```
data_NaNpSnTe3
_chemical_formula_sum 'Na2 Np2 Sn2 Te6'
_cell_length_a 9.2078
_cell_length_b 4.3731
_cell_length_c 10.3980
_cell_angle_alpha 90.00
_cell_angle_beta 116.07
_cell_angle_gamma 90.00
_symmetry_space_group_name_H-M 'P 1 21/m 1'
_symmetry_Int_Tables_number 11
_symmetry_space_group_name_Hall '-P 2yb'
loop_
_atom_site_label
_atom_site_type_symbol
_atom_site_fract_x
_atom_site_fract_y
_atom_site_fract_z
_atom_site_occupancy
Na1 Na 0.0370 0.2500 0.3201 1
Np1 Np 0.4957 0.7500 0.6991 1
Sn1 Sn 0.3550 0.7500 0.9631 1
Te1 Te 0.1720 0.2500 0.0161 1
Te2 Te 0.2462 0.2500 0.6747 1
Te3 Te 0.3070 0.7500 0.3642 1
```

Properties
* final energy: -0.37795 Ry per atom

***

(10)
This record from Alexandria via LeMat-Bulk describes an optimized crystal structure of CoTc2B2. The functional is PBE.

Cell and atoms, written as CIF:
```
data_CoTc2B2
_chemical_formula_sum 'Co2 Tc4 B4'
_cell_length_a 3.0888
_cell_length_b 4.5167
_cell_length_c 7.1318
_cell_angle_alpha 90.00
_cell_angle_beta 90.00
_cell_angle_gamma 90.00
_symmetry_space_group_name_H-M 'I m m m'
_symmetry_Int_Tables_number 71
_symmetry_space_group_name_Hall '-I 2 2'
loop_
_atom_site_label
_atom_site_type_symbol
_atom_site_fract_x
_atom_site_fract_y
_atom_site_fract_z
_atom_site_occupancy
Co1 Co 0.0000 0.0000 0.0000 1
Tc1 Tc 0.0000 0.5000 0.1979 1
B1 B 0.0000 0.2039 0.5000 1
```

Properties
* formation enthalpy at 0 K: -0.351 eV per atom
* energy above the lowest structure with this stoichiometry: 0.000 eV per atom

***

(11)
This record from Alexandria via LeMat-Bulk describes an optimized crystal structure of LaSm2Sc. The functional is PBE.

Cell and atoms, written as CIF:
```
data_LaSm2Sc
_chemical_formula_sum 'La1 Sm2 Sc1'
_cell_length_a 3.5886
_cell_length_b 6.1271
_cell_length_c 6.1474
_cell_angle_alpha 100.00
_cell_angle_beta 90.02
_cell_angle_gamma 106.96
_symmetry_space_group_name_H-M 'P 1'
_symmetry_Int_Tables_number 1
_symmetry_space_group_name_Hall 'P 1'
loop_
_atom_site_label
_atom_site_type_symbol
_atom_site_fract_x
_atom_site_fract_y
_atom_site_fract_z
_atom_site_occupancy
La1 La 0.0000 0.0000 0.0000 1
Sm1 Sm 0.2436 0.4880 0.7442 1
Sm2 Sm 0.4888 0.9758 0.4875 1
Sc1 Sc 0.7447 0.4893 0.2456 1
```

Properties
* formation enthalpy at 0 K: 0.044 eV per atom
* energy above the lowest structure with this stoichiometry: 0.000 eV per atom

***

(12)
This record from Alexandria via LeMat-Bulk describes an optimized crystal structure of LaCoTe2. The functional is PBE.

Cell and atoms, written as CIF:
```
data_LaCoTe2
_chemical_formula_sum 'La4 Co4 Te8'
_cell_length_a 7.7737
_cell_length_b 7.7737
_cell_length_c 6.7519
_cell_angle_alpha 90.00
_cell_angle_beta 90.00
_cell_angle_gamma 90.00
_symmetry_space_group_name_H-M 'I -4 2 d'
_symmetry_Int_Tables_number 122
_symmetry_space_group_name_Hall 'I -4 2bw'
loop_
_atom_site_label
_atom_site_type_symbol
_atom_site_fract_x
_atom_site_fract_y
_atom_site_fract_z
_atom_site_occupancy
La1 La 0.0000 0.0000 0.0000 1
Co1 Co 0.0000 0.0000 0.5000 1
Te1 Te 0.1642 0.2500 0.6250 1
```

Properties
* final energy: -0.39237 Ry per atom

***

In the order shown, the computed calculated volume values come out to 31.885, 13.111, 13.678, 19.344, 37.593, 29.449, 22.271, 17.741, 31.342, 9.950, 31.784, 25.502 Å³/atom.